TbPu2Pa3P6: optimized geometry, PBE-GGA.

The structure in CIF format:
```
data_TbPu2Pa3P6
_cell_length_a 6.9105
_cell_length_b 6.9105
_cell_length_c 6.8907
_cell_angle_alpha 99.62
_cell_angle_beta 99.62
_cell_angle_gamma 120.01
_symmetry_space_group_name_H-M 'P 1'
_symmetry_Int_Tables_number 1
loop_
_symmetry_equiv_pos_as_xyz
'x,y,z'
loop_
_atom_site_label
_atom_site_fract_x
_atom_site_fract_y
_atom_site_fract_z
_atom_site_occupancy
Tb1 0.0000 0.0000 0.0000 1
Pu1 0.3332 0.6668 0.0000 1
Pu2 0.6668 0.3332 0.0000 1
Pa1 0.1660 0.8340 0.5000 1
Pa2 0.5000 0.5000 0.5000 1
Pa3 0.8340 0.1660 0.5000 1
P1 0.0847 0.4194 0.2538 1
P2 0.2504 0.2504 0.7466 1
P3 0.4194 0.0847 0.2538 1
P4 0.5806 0.9153 0.7462 1
P5 0.7496 0.7496 0.2534 1
P6 0.9153 0.5806 0.7462 1
```

Properties
As for the calculated formation energy: -1.3295 eV/atom.